Compound: K2UCu3S5
Source: OQMD
Functional: PBE
Structure: optimized geometry

```
K2UCu3S5
1.0
1.313 -3.328 -1.618
-1.308 -5.197 4.863
-15.802 -2.744 -7.183
Cu U S K
6 2 10 4
direct
0.957 0.087 0.644 Cu
0.553 0.893 0.250 Cu
0.957 0.087 0.856 Cu
0.043 0.913 0.356 Cu
0.447 0.107 0.750 Cu
0.043 0.913 0.144 Cu
0.500 0.000 0.500 U
0.500 0.000 0.000 U
0.553 0.894 0.858 S
0.126 0.749 0.030 S
0.126 0.749 0.470 S
0.874 0.251 0.970 S
0.447 0.106 0.142 S
0.853 0.295 0.750 S
0.147 0.705 0.250 S
0.447 0.106 0.358 S
0.553 0.894 0.642 S
0.874 0.251 0.530 S
0.764 0.472 0.366 K
0.764 0.472 0.134 K
0.236 0.528 0.866 K
0.236 0.528 0.634 K
```

As for the size of the total moment: 1.033 μB/f.u. Its density is 4.61 g/cm3. Its raw total energy is -5.079 eV per atom. Its space group is No. 63.

Compound: Co15As
Source: OQMD
Functional: PBE
Structure: optimized geometry

```
Co15As
1.0
-4.465 -1.555 1.362
1.425 -2.858 1.412
3.301 16.046 29.144
Co As
30 2
direct
0.875 0.500 0.371 Co
0.875 0.500 0.518 Co
0.872 0.500 0.740 Co
0.125 0.000 0.408 Co
0.625 0.000 0.408 Co
0.125 0.000 0.482 Co
0.125 0.000 0.629 Co
0.375 0.500 0.592 Co
0.125 0.000 0.703 Co
0.626 0.000 0.334 Co
0.875 0.500 0.592 Co
0.876 0.500 0.666 Co
0.128 0.000 0.260 Co
0.875 0.500 0.445 Co
0.625 0.000 0.482 Co
0.375 0.500 0.371 Co
0.375 0.500 0.445 Co
0.625 0.000 0.777 Co
0.875 0.500 0.297 Co
0.378 0.500 0.740 Co
0.625 0.000 0.703 Co
0.625 0.000 0.555 Co
0.375 0.500 0.223 Co
0.625 0.000 0.629 Co
0.375 0.500 0.518 Co
0.622 0.000 0.260 Co
0.125 0.000 0.555 Co
0.374 0.500 0.666 Co
0.124 0.000 0.334 Co
0.375 0.500 0.297 Co
0.875 0.500 0.223 As
0.125 0.000 0.777 As
```

As for the size of the total moment: 23.542 μB/f.u. Its density is 5.54 g/cm3. Its raw total energy is -6.884 eV per atom. Its polymorph energy (0 for the lowest one) is 0.020 eV per atom. Its space group is No. 11.

raw total energy of number 1 (K2UCu3S5)? -5.079 eV per atom